VASP calculation (PBE) on a relaxed structure of AgBr3.

Summary:
The value obtained for the uncorrected formation energy is 1.44 eV per formula unit. The calculation puts the total magnetization at 2.0 μB per cell.

```
AgBr3
1.0
0.000 3.732 3.732
3.732 0.000 3.732
3.732 3.732 0.000
Ag Br
1 3
Cartesian
0.000 0.000 0.000
1.866 1.866 1.866
3.732 3.732 3.732
5.597 5.597 5.597
```



VASP calculation (PBE) on a relaxed structure of Pm3Mg2Cd9.

Summary:
The formation energy is -263 meV/atom. The calculation puts the total magnetization at 0.0 μB per cell.

```
Pm3Mg2Cd9
1.0
-2.454 4.916 7.124
2.454 -4.916 7.124
2.454 4.916 -7.124
Pm Mg Cd
3 2 9
Cartesian
0.000 0.000 0.000
0.000 0.000 4.065
0.000 0.000 10.183
2.454 3.218 0.000
0.000 1.698 7.124
2.454 -1.380 2.200
2.454 -2.108 5.125
2.454 1.380 2.200
0.000 2.808 1.999
0.000 4.916 0.000
2.454 2.108 5.125
0.000 3.536 4.924
0.000 7.024 1.999
0.000 6.297 4.924
```



VASP calculation (PBE) on a relaxed structure of BeCdNi3.

Summary:
The formation energy is 1662 meV/atom. The calculation puts the total magnetization at 0.0 μB per cell.

```
BeCdNi3
1.0
4.616 0.000 0.000
0.000 4.616 0.000
0.000 0.000 4.616
Be Cd Ni
1 1 3
Cartesian
0.000 0.000 0.000
2.308 2.308 2.308
0.000 2.308 2.308
2.308 0.000 2.308
2.308 2.308 0.000
```